# ZrAsP2Pt

A geometry-optimized ZrAsP2Pt structure (PBE-GGA, Alexandria via LeMat-Bulk).

Geometry as POSCAR:
```
ZrAsP2Pt
1.0
4.927 0.000 0.000
0.000 4.927 0.000
0.000 0.000 5.065
Zr As P Pt
1 1 2 1
direct
0.000 0.000 0.000 Zr
0.500 0.500 0.500 As
0.000 0.500 0.000 P
0.500 0.000 0.000 P
0.000 0.000 0.500 Pt
```

Computed properties:
- Mass density: 5.71 g/cm3
- Total magnetic moment: 0.000 μB/atom
- Energy of formation from the pure elements: 782 meV/atom